No. 1
This record from Alexandria describes a relaxed structure of Co3Rh. The functional is PBE.

a = 2.602 Å, b = 3.536 Å, c = 5.209 Å
α = 90.00°, β = 90.00°, γ = 90.00°
Space group Pmmm (No. 47)
Asymmetric unit:
Co 0.000 0.000 0.000
Co 0.500 0.500 0.231
Rh 0.000 0.000 0.500

Properties
Energy of formation from the pure elements   53.8 meV/atom
Crystal system   orthorhombic

=====

No. 2
This record from Alexandria describes a relaxed structure of Co2Rh. The functional is PBE.

a = 3.675 Å, b = 10.986 Å, c = 3.648 Å
α = 90.00°, β = 90.00°, γ = 90.00°
Space group Cmmm (No. 65)
Asymmetric unit:
Co 0.000 0.000 0.000
Co 0.000 0.161 0.500
Co 0.000 0.500 0.500
Rh 0.000 0.337 0.000

Properties
Energy of formation from the pure elements   58.7 meV/atom
Crystal system   orthorhombic

=====

No. 3
This record from Alexandria describes a relaxed structure of Co3Rh. The functional is PBE.

a = 2.608 Å, b = 8.255 Å, c = 4.435 Å
α = 90.00°, β = 90.00°, γ = 90.00°
Space group Imm2 (No. 44)
Asymmetric unit:
Co 0.000 0.000 0.000
Co 0.000 0.255 0.661
Rh 0.000 0.500 0.006

Properties
Energy of formation from the pure elements   32.4 meV/atom
Crystal system   orthorhombic

=====

No. 4
This record from Alexandria describes a relaxed structure of Co2Rh. The functional is PBE.

a = 2.637 Å, b = 2.637 Å, c = 10.481 Å
α = 90.00°, β = 90.00°, γ = 90.00°
Space group P4/nmm (No. 129, origin choice 2)
Asymmetric unit:
Co 0.250 0.250 0.077
Co 0.250 0.250 0.769
Rh 0.250 0.250 0.406

Properties
Energy of formation from the pure elements   66.1 meV/atom
Crystal system   tetragonal

=====

| no. | Fermi-level density of states (states/eV/atom) |
| --- | --- |
| 1 | 1.312 |
| 2 | 1.577 |
| 3 | 1.048 |
| 4 | 1.514 |